1.
Here is crystalline CrIrOs2 at its relaxed geometry from the Alexandria database. Energies are from PBE-GGA.

Computed properties:
For the formation enthalpy at 0 K, the calculation gives 2.10 eV/f.u. The calculation puts the energy above the most stable polymorph in this dataset at 546.3 meV/atom.

Cell and atoms, written as CIF:
```
data_CrIrOs2
_cell_length_a 6.093
_cell_length_b 6.093
_cell_length_c 6.093
_cell_angle_alpha 90.00
_cell_angle_beta 90.00
_cell_angle_gamma 90.00
_symmetry_space_group_name_H-M 'F m -3 m'
_symmetry_Int_Tables_number 225
_symmetry_space_group_name_Hall '-F 4 2 3'
loop_
_atom_site_label
_atom_site_type_symbol
_atom_site_fract_x
_atom_site_fract_y
_atom_site_fract_z
Cr1 Cr 0.000 0.000 0.000
Ir1 Ir 0.000 0.000 0.500
Os1 Os 0.250 0.250 0.250
```

---

2.
Here is crystalline Cd5CuAu2 at its relaxed geometry from the Alexandria database. Energies are from PBE-GGA.

Computed properties:
For the formation enthalpy at 0 K, the calculation gives -0.74 eV/f.u.

Cell and atoms, written as CIF:
```
data_Cd5CuAu2
_cell_length_a 4.6474
_cell_length_b 4.6474
_cell_length_c 18.2583
_cell_angle_alpha 90.00
_cell_angle_beta 90.00
_cell_angle_gamma 120.00
_symmetry_space_group_name_H-M 'P 63/m m c'
_symmetry_Int_Tables_number 194
_symmetry_space_group_name_Hall '-P 6c 2c'
loop_
_atom_site_label
_atom_site_type_symbol
_atom_site_fract_x
_atom_site_fract_y
_atom_site_fract_z
Cd1 Cd 0.0000 0.0000 0.1631
Cd2 Cd 0.3333 0.6667 0.0496
Cd3 Cd 0.3333 0.6667 0.2500
Cu1 Cu 0.3333 0.6667 0.7500
Au1 Au 0.3333 0.6667 0.6060
```

---

3.
Here is crystalline Cr2GeWN at its relaxed geometry from the Alexandria database. Energies are from PBE-GGA.

Computed properties:
The uncorrected formation energy is 7.3 eV per formula unit. The calculation puts the energy above the most stable polymorph in this dataset at 1519.2 meV/atom.

Cell and atoms, written as CIF:
```
data_Cr2GeWN
_cell_length_a 4.723
_cell_length_b 4.723
_cell_length_c 3.809
_cell_angle_alpha 90.00
_cell_angle_beta 90.00
_cell_angle_gamma 90.00
_symmetry_space_group_name_H-M 'P 4/m m m'
_symmetry_Int_Tables_number 123
_symmetry_space_group_name_Hall '-P 4 2'
loop_
_atom_site_label
_atom_site_type_symbol
_atom_site_fract_x
_atom_site_fract_y
_atom_site_fract_z
Cr1 Cr 0.000 0.500 0.000
Ge1 Ge 0.000 0.000 0.500
W1 W 0.500 0.500 0.000
N1 N 0.500 0.500 0.500
```

---

4.
Here is crystalline Ca2SbRh at its relaxed geometry from the Alexandria database. Energies are from PBE-GGA.

Computed properties:
The uncorrected formation energy is -2.7 eV per formula unit.

Cell and atoms, written as CIF:
```
data_Ca2SbRh
_cell_length_a 4.032
_cell_length_b 4.665
_cell_length_c 11.243
_cell_angle_alpha 90.00
_cell_angle_beta 90.00
_cell_angle_gamma 90.00
_symmetry_space_group_name_H-M 'A m m 2'
_symmetry_Int_Tables_number 38
loop_
_symmetry_equiv_pos_as_xyz
'x,y,z'
'-x,-y,z'
'-x,y,z'
'x,-y,z'
'x,y+1/2,z+1/2'
'-x,-y+1/2,z+1/2'
'-x,y+1/2,z+1/2'
'x,-y+1/2,z+1/2'
loop_
_atom_site_label
_atom_site_type_symbol
_atom_site_fract_x
_atom_site_fract_y
_atom_site_fract_z
Ca1 Ca 0.000 0.000 0.000
Ca2 Ca 0.500 0.000 0.289
Sb1 Sb 0.500 0.000 0.585
Rh1 Rh 0.000 0.000 0.733
```

---

5.
Here is crystalline Mn2AgHAu at its relaxed geometry from the Alexandria database. Energies are from PBE-GGA.

Cell and atoms, written as CIF:
```
data_Mn2AgHAu
_cell_length_a 3.996
_cell_length_b 3.996
_cell_length_c 4.157
_cell_angle_alpha 90.00
_cell_angle_beta 90.00
_cell_angle_gamma 90.00
_symmetry_space_group_name_H-M 'P 4/m m m'
_symmetry_Int_Tables_number 123
_symmetry_space_group_name_Hall '-P 4 2'
loop_
_atom_site_label
_atom_site_type_symbol
_atom_site_fract_x
_atom_site_fract_y
_atom_site_fract_z
Mn1 Mn 0.000 0.500 0.000
Ag1 Ag 0.000 0.000 0.500
H1 H 0.000 0.000 0.000
Au1 Au 0.500 0.500 0.500
```

---

6.
Here is crystalline Ba2SrLiGa at its relaxed geometry from the Alexandria database. Energies are from PBE-GGA.

Computed properties:
For the formation enthalpy at 0 K, the calculation gives 0.00 eV/f.u.

Cell and atoms, written as CIF:
```
data_Ba2SrLiGa
_cell_length_a 6.634
_cell_length_b 6.634
_cell_length_c 5.265
_cell_angle_alpha 90.00
_cell_angle_beta 90.00
_cell_angle_gamma 90.00
_symmetry_space_group_name_H-M 'P 4/m m m'
_symmetry_Int_Tables_number 123
_symmetry_space_group_name_Hall '-P 4 2'
loop_
_atom_site_label
_atom_site_type_symbol
_atom_site_fract_x
_atom_site_fract_y
_atom_site_fract_z
Ba1 Ba 0.000 0.500 0.000
Sr1 Sr 0.000 0.000 0.500
Li1 Li 0.500 0.500 0.500
Ga1 Ga 0.500 0.500 0.000
```

---

7.
Here is crystalline TlRhCl3 at its relaxed geometry from the Alexandria database. Energies are from PBE-GGA.

Computed properties:
The uncorrected formation energy is 1.6 eV per formula unit.

Cell and atoms, written as CIF:
```
data_TlRhCl3
_cell_length_a 5.375
_cell_length_b 5.375
_cell_length_c 5.375
_cell_angle_alpha 90.00
_cell_angle_beta 90.00
_cell_angle_gamma 90.00
_symmetry_space_group_name_H-M 'P m -3 m'
_symmetry_Int_Tables_number 221
_symmetry_space_group_name_Hall '-P 4 2 3'
loop_
_atom_site_label
_atom_site_type_symbol
_atom_site_fract_x
_atom_site_fract_y
_atom_site_fract_z
Tl1 Tl 0.000 0.000 0.000
Rh1 Rh 0.500 0.500 0.500
Cl1 Cl 0.000 0.000 0.500
```

---

8.
Here is crystalline K2BaSr at its relaxed geometry from the Alexandria database. Energies are from PBE-GGA.

Computed properties:
For the formation enthalpy at 0 K, the calculation gives 0.21 eV/f.u.

Cell and atoms, written as CIF:
```
data_K2BaSr
_cell_length_a 4.4373
_cell_length_b 4.4373
_cell_length_c 45.4808
_cell_angle_alpha 90.00
_cell_angle_beta 90.00
_cell_angle_gamma 120.00
_symmetry_space_group_name_H-M 'R 3 m'
_symmetry_Int_Tables_number 160
_symmetry_space_group_name_Hall 'R 3 -2"'
loop_
_atom_site_label
_atom_site_type_symbol
_atom_site_fract_x
_atom_site_fract_y
_atom_site_fract_z
K1 K 0.0000 0.0000 0.0000
K2 K 0.0000 0.0000 0.2453
Ba1 Ba 0.0000 0.0000 0.7516
Sr1 Sr 0.0000 0.0000 0.4960
```

---

| no. | electronic total energy (eV per atom) |
| --- | --- |
| 1 | -9.71 |
| 2 | -2.00 |
| 3 | -7.57 |
| 4 | -4.53 |
| 5 | -5.40 |
| 6 | -2.09 |
| 7 | -2.72 |
| 8 | -1.40 |